[1]
## LiLaSb (PBE)

Data for a relaxed structure of LiLaSb.

Cell and atoms, written as extended XYZ:
```
3
Lattice="4.575 0.000 0.000 -2.288 3.962 0.000 0.000 0.000 4.359" Properties=species:S:1:pos:R:3 pbc="T T T"
Li 0.000 0.000 0.000
La 0.000 2.642 2.179
Sb 2.288 1.321 0.000
```

* ΔE to the lowest computed polymorph: 0.0158 eV per atom
* formation energy (no corrections): -0.914 eV/atom
* total energy: -4.5687 eV/atom


[2]
## La2InGa (PBE)

Data for a relaxed structure of La2InGa.

Cell and atoms, written as extended XYZ:
```
4
Lattice="0.000 3.873 3.873 3.873 0.000 3.873 3.873 3.873 0.000" Properties=species:S:1:pos:R:3 pbc="T T T"
La 1.936 1.936 1.936
La 5.809 5.809 5.809
In 0.000 0.000 0.000
Ga 3.873 3.873 3.873
```

* ΔE to the lowest computed polymorph: 0.0215 eV per atom
* formation energy: -519 meV/atom
* total energy: -4.4245 eV/atom


[3]
## Tb4Pr6Nd (PBE)

Data for a relaxed structure of Tb4Pr6Nd.

Cell and atoms, written as extended XYZ:
```
11
Lattice="-3.834 3.834 6.836 3.834 -3.834 6.836 3.834 3.834 -6.836" Properties=species:S:1:pos:R:3 pbc="T T T"
Tb 2.572 2.572 -1.090
Tb 1.262 -1.262 7.926
Tb 1.262 1.262 5.746
Tb -1.262 1.262 7.926
Pr 3.834 0.000 0.000
Pr 2.075 -2.075 4.259
Pr 1.759 1.759 2.577
Pr 0.000 3.834 0.000
Pr -2.075 2.075 4.259
Pr 2.075 2.075 9.413
Nd 0.000 0.000 0.000
```

* ΔE to the lowest computed polymorph: 0.0544 eV per atom
* formation energy: 339 meV/atom
* total energy: -4.3849 eV/atom


[4]
## PrNbSn (PBE)

Data for a relaxed structure of PrNbSn.

Cell and atoms, written as extended XYZ:
```
6
Lattice="4.266 0.000 0.000 0.000 4.266 0.000 0.000 0.000 8.560" Properties=species:S:1:pos:R:3 pbc="T T T"
Pr 1.066 1.066 1.256
Pr 3.199 3.199 7.305
Nb 1.066 3.199 4.280
Nb 3.199 1.066 4.280
Sn 1.066 1.066 6.302
Sn 3.199 3.199 2.258
```

* formation energy: -402 meV/atom
* total energy: -6.6856 eV/atom


[5]
## LaSc2Cu (PBE)

Data for a relaxed structure of LaSc2Cu.

Cell and atoms, written as extended XYZ:
```
4
Lattice="3.522 0.000 0.000 0.000 4.720 0.000 -1.709 0.000 5.821" Properties=species:S:1:pos:R:3 pbc="T T T"
La 0.000 0.000 0.000
Sc -0.028 2.360 4.165
Sc 1.841 2.360 1.656
Cu 0.906 0.000 2.911
```

* ΔE to the lowest computed polymorph: 0.1534 eV per atom
* formation energy: 75 meV/atom
* total energy: -5.3463 eV/atom


[6]
## CaCuPd3 (PBE)

Data for a relaxed structure of CaCuPd3.

Cell and atoms, written as extended XYZ:
```
10
Lattice="-2.682 3.738 4.521 2.682 -3.738 4.521 2.682 3.738 -4.521" Properties=species:S:1:pos:R:3 pbc="T T T"
Ca 0.000 1.869 0.037
Ca 2.682 1.869 4.485
Cu 2.682 0.000 0.000
Cu 0.000 0.000 4.521
Pd 1.341 3.263 -2.261
Pd 1.341 -0.475 2.261
Pd 2.682 1.869 1.703
Pd 0.000 1.869 2.818
Pd -1.341 4.213 2.261
Pd 1.341 4.213 2.261
```

* ΔE to the lowest computed polymorph: 0.0000 eV per atom
* formation energy: -353 meV/atom
* total energy: -4.6885 eV/atom


> What is the total energy in the fourth record?

-6.6856 eV/atom


> Which value of total energy does entry 2 give?

-4.4245 eV/atom


> Which of these has the highest total energy?

Tb4Pr6Nd


> Among the records above, which one has the highest total energy?

Tb4Pr6Nd